No. 1
DFT (PBE-GGA) results for a geometry-optimized RbNa2Ga2Ge2 structure.

Structure (POSCAR):
```
RbNa2Ga2Ge2
1.0
5.1985 -2.1304 0.0000
5.1985 2.1304 0.0000
-3.9252 0.0000 9.3088
Rb Na Ga Ge
1 2 2 2
direct
0.0000 0.0000 0.0000
0.1176 0.1176 0.3973
0.8824 0.8824 0.6027
0.3960 0.3960 0.3656
0.6040 0.6040 0.6344
0.2168 0.2168 0.7436
0.7832 0.7832 0.2564
```

Properties
**Formation energy**: -0.086 eV/atom

No. 2
DFT (PBE-GGA) results for a geometry-optimized NaGa2ReGe structure.

Structure (POSCAR):
```
NaGa2ReGe
1.0
4.9196 0.0000 0.0000
0.0000 4.9196 0.0000
0.0000 0.0000 4.8045
Na Ga Re Ge
1 2 1 1
direct
0.0000 0.0000 0.0000
0.0000 0.5000 0.5000
0.5000 0.0000 0.5000
0.5000 0.5000 0.5000
0.5000 0.5000 0.0000
```

Properties
**Formation energy**: -0.023 eV/atom

No. 3
DFT (PBE-GGA) results for a geometry-optimized Na2Ga2GeS6 structure.

Structure (POSCAR):
```
Na2Ga2GeS6
1.0
0.0000 11.4587 3.7135
6.3270 0.0000 3.7135
6.3270 11.4587 0.0000
Na Ga Ge S
4 4 2 12
direct
0.1213 0.8787 0.2890
0.5390 0.9610 0.3713
0.8787 0.1213 0.7110
0.9610 0.5390 0.1287
0.0133 0.5625 0.7216
0.5284 0.5474 0.2367
0.5474 0.5284 0.6875
0.5625 0.0133 0.7026
0.2556 0.2556 0.7444
0.5056 0.5056 0.9944
0.2077 0.9575 0.9415
0.3085 0.3567 0.0423
0.3121 0.5432 0.7357
0.3567 0.3085 0.2925
0.3630 0.7732 0.3596
0.5143 0.8410 0.9379
0.5432 0.3121 0.4090
0.7458 0.8904 0.4768
0.7732 0.3630 0.5042
0.8410 0.5143 0.7068
0.8904 0.7458 0.8870
0.9575 0.2077 0.8933
```

Properties
**E_form (uncorrected)**: -0.817 eV per atom

No. 4
DFT (PBE-GGA) results for a geometry-optimized NaGa2GeS6 structure.

Structure (POSCAR):
```
NaGa2GeS6
1.0
6.3203 -6.3052 0.0000
6.3203 6.3052 0.0000
-3.2783 0.0000 6.4459
Na Ga Ge S
2 4 2 12
direct
0.1274 0.8726 0.7500
0.8726 0.1274 0.2500
0.2383 0.3963 0.8882
0.3963 0.2383 0.3882
0.6037 0.7617 0.6118
0.7617 0.6037 0.1118
0.1780 0.8220 0.2500
0.8220 0.1780 0.7500
0.0500 0.1835 0.6758
0.1364 0.6369 0.9412
0.1835 0.0500 0.1758
0.3271 0.4346 0.6269
0.3631 0.8636 0.5588
0.4346 0.3271 0.1269
0.5654 0.6729 0.8731
0.6369 0.1364 0.4412
0.6729 0.5654 0.3731
0.8165 0.9500 0.8242
0.8636 0.3631 0.0588
0.9500 0.8165 0.3242
```

Properties
**E_form (uncorrected)**: -0.500 eV per atom

No. 5
DFT (PBE-GGA) results for a geometry-optimized Na2GaGeS4 structure.

Structure (POSCAR):
```
Na2GaGeS4
1.0
-3.1832 3.1832 4.9490
3.1832 -3.1832 4.9490
3.1832 3.1832 -4.9490
Na Ga Ge S
2 1 1 4
direct
0.0000 0.0000 0.0000
0.7500 0.2500 0.5000
0.5000 0.5000 0.0000
0.2500 0.7500 0.5000
0.1830 0.1380 0.5661
0.3831 0.8170 0.9550
0.5719 0.6169 0.4339
0.8620 0.4281 0.0450
```

Properties
**E_form (uncorrected)**: -0.720 eV per atom

No. 6
DFT (PBE-GGA) results for a geometry-optimized NaGaGe2S6 structure.

Structure (POSCAR):
```
NaGaGe2S6
1.0
6.3627 -6.2001 0.0000
6.3627 6.2001 0.0000
-2.6103 0.0000 6.2732
Na Ga Ge S
2 2 4 12
direct
0.1258 0.8742 0.7500
0.8742 0.1258 0.2500
0.2089 0.7911 0.2500
0.7911 0.2089 0.7500
0.2234 0.3765 0.8156
0.3765 0.2234 0.3156
0.6235 0.7766 0.6844
0.7766 0.6235 0.1844
0.0356 0.1841 0.6717
0.1321 0.6150 0.9194
0.1841 0.0356 0.1717
0.3072 0.4273 0.5465
0.3850 0.8679 0.5806
0.4273 0.3072 0.0465
0.5727 0.6928 0.9535
0.6150 0.1321 0.4194
0.6928 0.5727 0.4535
0.8159 0.9644 0.8283
0.8679 0.3850 0.0806
0.9644 0.8159 0.3283
```

Properties
**E_form (uncorrected)**: -0.478 eV per atom

No. 7
DFT (PBE-GGA) results for a geometry-optimized NaGa2GeSe6 structure.

Structure (POSCAR):
```
NaGa2GeSe6
1.0
6.7395 -6.5410 0.0000
6.7395 6.5410 0.0000
-3.4844 0.0000 6.7772
Na Ga Ge Se
2 4 2 12
direct
0.1362 0.8638 0.7500
0.8638 0.1362 0.2500
0.2379 0.3944 0.8868
0.3944 0.2379 0.3868
0.6056 0.7621 0.6132
0.7621 0.6056 0.1132
0.1735 0.8265 0.2500
0.8265 0.1735 0.7500
0.0543 0.1777 0.6667
0.1208 0.6332 0.9351
0.1777 0.0543 0.1667
0.3200 0.4397 0.6231
0.3668 0.8792 0.5649
0.4397 0.3200 0.1231
0.5603 0.6800 0.8769
0.6332 0.1208 0.4351
0.6800 0.5603 0.3769
0.8223 0.9457 0.8333
0.8792 0.3668 0.0649
0.9457 0.8223 0.3333
```

Properties
**E_form (uncorrected)**: -0.443 eV per atom

No. 8
DFT (PBE-GGA) results for a geometry-optimized Na2SmGaGe2 structure.

Structure (POSCAR):
```
Na2SmGaGe2
1.0
4.3028 0.0000 0.0000
0.0000 8.8257 0.0000
0.0000 0.0000 7.3954
Na Sm Ga Ge
4 2 2 4
direct
0.0000 0.0824 0.0000
0.0000 0.9176 0.5000
0.5000 0.1588 0.3200
0.5000 0.8412 0.8200
0.5000 0.4444 0.9636
0.5000 0.5556 0.4636
0.0000 0.3235 0.6249
0.0000 0.6765 0.1249
0.0000 0.3857 0.2499
0.0000 0.6143 0.7499
0.5000 0.1760 0.7156
0.5000 0.8240 0.2156
```

Properties
**Formation energy**: -0.402 eV/atom